CdTeNO2 | PBE-GGA | relaxed

abc: 4.0310 4.0310 4.1929
angles: 90.00 90.00 90.00
Last column: nearest neighbours and their distance in Å.
Space group P4/mmm (No. 123)
Unique sites:
Cd  0.0000  0.0000  0.0000  4 N 2.85, 8 O 2.91
Te  0.5000  0.5000  0.5000  4 O 2.02, 2 N 2.10
N  0.5000  0.5000  0.0000  2 Te 2.10
O  0.0000  0.5000  0.5000  2 Te 2.02

Magnetization in Bohr magnetons per cell: 0.0
ΔE_f (raw) in eV per atom: 0.01
Raw total energy in eV/atom: -4.4526
DOS(E_F) in states/eV/f.u.: 0.50

***

CdTeNO2 | PBE-GGA | relaxed

abc: 4.0885 4.0885 4.3268
angles: 90.00 90.00 90.00
Last column: nearest neighbours and their distance in Å.
Space group P4/mmm (No. 123)
Unique sites:
Cd  0.0000  0.0000  0.0000  4 O 2.04, 2 N 2.16
Te  0.5000  0.5000  0.5000  4 N 2.89, 8 O 2.98
N  0.0000  0.0000  0.5000  2 Cd 2.16
O  0.0000  0.5000  0.0000  2 Cd 2.04

Magnetization in Bohr magnetons per cell: 0.0
ΔE_f (raw) in eV per atom: 0.87
Raw total energy in eV/atom: -3.5915
DOS(E_F) in states/eV/f.u.: 1.84

***

TiCdN2O | PBE-GGA | relaxed

abc: 4.0077 4.0077 3.8851
angles: 90.00 90.00 90.00
Last column: nearest neighbours and their distance in Å.
Space group P4/mmm (No. 123)
Unique sites:
Ti  0.0000  0.0000  0.0000  2 O 1.94, 4 N 2.00
Cd  0.5000  0.5000  0.5000  8 N 2.79, 4 O 2.83
N  0.0000  0.5000  0.0000  2 Ti 2.00
O  0.0000  0.0000  0.5000  2 Ti 1.94

Magnetization in Bohr magnetons per cell: 1.6
ΔE_f (raw) in eV per atom: -0.26
Raw total energy in eV/atom: -6.3462
DOS(E_F) in states/eV/f.u.: 2.22

***

TiCdN2O | PBE-GGA | relaxed

abc: 4.0750 4.0750 3.9963
angles: 90.00 90.00 90.00
Last column: nearest neighbours and their distance in Å.
Space group P4/mmm (No. 123)
Unique sites:
Ti  0.0000  0.0000  0.0000  8 N 2.85, 4 O 2.88
Cd  0.5000  0.5000  0.5000  2 O 2.00, 4 N 2.04
N  0.0000  0.5000  0.5000  2 Cd 2.04
O  0.5000  0.5000  0.0000  2 Cd 2.00

Magnetization in Bohr magnetons per cell: 0.0
ΔE_f (raw) in eV per atom: 1.22
Raw total energy in eV/atom: -4.8659
DOS(E_F) in states/eV/f.u.: 2.47

***

TiCd2NO | PBE-GGA | relaxed

abc: 5.4577 5.4577 3.7063
angles: 90.00 90.00 90.00
Last column: nearest neighbours and their distance in Å.
Space group P4/mmm (No. 123)
Unique sites:
Ti  0.0000  0.0000  0.0000  2 N 1.85
Cd  0.0000  0.5000  0.0000  2 Ti 2.73
N  0.0000  0.0000  0.5000  2 Ti 1.85
O  0.5000  0.5000  0.5000  8 Cd 3.30

Magnetization in Bohr magnetons per cell: 0.1
ΔE_f (raw) in eV per atom: 0.66
Raw total energy in eV/atom: -3.9412
DOS(E_F) in states/eV/f.u.: 8.26

***

Ti6Cd2NO | PBE-GGA | relaxed

abc: 8.3816 8.3816 8.3816
angles: 90.00 90.00 90.00
Last column: nearest neighbours and their distance in Å.
Space group Fm-3m (No. 225)
Unique sites:
Ti  0.0000  0.0000  0.2476  1 N 2.08, 1 O 2.12
Cd  0.2500  0.2500  0.2500  12 Ti 2.96
N  0.0000  0.0000  0.0000  6 Ti 2.08
O  0.0000  0.0000  0.5000  6 Ti 2.12

Magnetization in Bohr magnetons per cell: 0.0
ΔE_f (raw) in eV per atom: -0.94
Raw total energy in eV/atom: -7.1889
DOS(E_F) in states/eV/f.u.: 9.03